[1]
La4GeSb2 | PBE | relaxed

Cell and atoms, written as POSCAR:
```
La4GeSb2
1.0
5.305 0.000 0.000
0.000 5.398 3.994
0.000 -5.398 3.994
La Ge Sb
4 1 2
Direct
0.000 0.000 0.000 La
0.000 0.425 0.425 La
0.500 0.214 0.714 La
0.500 0.714 0.214 La
0.500 0.213 0.213 Ge
0.000 0.500 0.926 Sb
0.000 0.926 0.500 Sb
```

Properties
Density of states at the Fermi level ... 4.90 states/eV/cell
Symmetry ... No. 38
Electronic total energy ... -38.7 eV/cell
Raw formation energy ... -6.1 eV per formula unit

---

[2]
LaGe2Sb2 | PBE | relaxed

Cell and atoms, written as POSCAR:
```
LaGe2Sb2
1.0
7.991 0.000 0.000
0.000 7.991 0.000
0.000 0.000 4.030
La Ge Sb
2 4 4
Direct
0.000 0.000 0.000 La
0.500 0.500 0.000 La
0.117 0.383 0.000 Ge
0.383 0.883 0.000 Ge
0.617 0.117 0.000 Ge
0.883 0.617 0.000 Ge
0.203 0.703 0.500 Sb
0.297 0.203 0.500 Sb
0.703 0.797 0.500 Sb
0.797 0.297 0.500 Sb
```

Properties
Density of states at the Fermi level ... 8.79 states/eV/cell
Symmetry ... No. 127
Electronic total energy ... -47.6 eV/cell
Raw formation energy ... -1.4 eV per formula unit